First-principles (PBE) data for an optimized crystal structure of NbTcSbMo, as listed in the Alexandria database.

Cell lengths 6.476, 6.476, 6.476 Å; angles 90.00, 90.00, 90.00 degrees
Space group F-43m (No. 216)
One atom of each set of equivalent atoms:
Nb  0.000  0.000  0.000
Tc  0.250  0.250  0.750
Sb  0.000  0.000  0.500
Mo  0.250  0.250  0.250

Calculated values
- Electronic total energy: -8.8801 eV per atom
- Crystal system: cubic
- Raw formation energy: -0.03 eV per atom

***

First-principles (PBE) data for an optimized crystal structure of CaCd2GeRh2, as listed in the Alexandria database.

Cell lengths 4.667, 4.667, 6.046 Å; angles 90.00, 90.00, 90.00 degrees
Space group P4/mmm (No. 123)
One atom of each set of equivalent atoms:
Ca  0.000  0.000  0.000
Cd  0.500  0.500  0.231
Ge  0.000  0.000  0.500
Rh  0.000  0.500  0.500

Calculated values
- Electronic total energy: -4.1231 eV per atom
- Crystal system: tetragonal
- E_form: -25.5 kJ/mol of atoms

***

First-principles (PBE) data for an optimized crystal structure of BaCa3Pt, as listed in the Alexandria database.

Cell lengths 9.068, 12.660, 6.895 Å; angles 90.00, 90.00, 90.00 degrees
Space group Cmcm (No. 63)
One atom of each set of equivalent atoms:
Ba  0.000  0.077  0.250
Ca  0.000  0.500  0.000
Ca  0.194  0.214  0.750
Pt  0.000  0.314  0.250

Calculated values
- Offset from the most stable computed form: 0.900 eV per formula unit
- Electronic total energy: -3.0750 eV per atom
- Crystal system: orthorhombic
- E_form: -27.1 kJ/mol of atoms

***

First-principles (PBE) data for an optimized crystal structure of NaCeAg2Se4, as listed in the Alexandria database.

Cell lengths 7.313, 7.313, 7.613 Å; angles 90.00, 90.00, 90.00 degrees
Space group I-42m (No. 121)
One atom of each set of equivalent atoms:
Na  0.000  0.000  0.000
Ce  0.000  0.000  0.500
Ag  0.000  0.500  0.250
Se  0.212  0.212  0.255

Calculated values
- Electronic total energy: -4.0938 eV per atom
- Crystal system: tetragonal
- Raw formation energy: -0.73 eV per atom

***

First-principles (PBE) data for an optimized crystal structure of ScInCo, as listed in the Alexandria database.

Cell lengths 4.4767, 4.4767, 3.1308 Å; angles 90.00, 90.00, 120.00 degrees
Space group P-6m2 (No. 187)
One atom of each set of equivalent atoms:
Sc  0.0000  0.0000  0.0000
In  0.3333  0.6667  0.5000
Co  0.6667  0.3333  0.5000

Calculated values
- Electronic total energy: -5.5339 eV per atom
- Crystal system: hexagonal
- E_form: -13.7 kJ/mol of atoms

***

First-principles (PBE) data for an optimized crystal structure of CaDyNO, as listed in the Alexandria database.

Cell lengths 3.128, 3.163, 11.818 Å; angles 90.00, 90.00, 90.00 degrees
Space group Imm2 (No. 44)
One atom of each set of equivalent atoms:
Ca  0.000  0.000  0.000
Dy  0.000  0.500  0.253
N  0.000  0.500  0.829
O  0.000  0.000  0.592

Calculated values
- Electronic total energy: -6.8764 eV per atom
- Crystal system: orthorhombic
- Raw formation energy: -1.90 eV per atom